Entry 1:
# YBeBr, optimized geometry, DFT PBE
data_YBeBr
_chemical_formula_sum 'Y1 Be1 Br1'
_cell_length_a 3.7082
_cell_length_b 3.7082
_cell_length_c 7.5820
_cell_angle_alpha 90.00
_cell_angle_beta 90.00
_cell_angle_gamma 120.00
_space_group_name_H-M_alt 'P 1'
_space_group_IT_number 1
_space_group_name_Hall 'P 1'
loop_
_atom_site_label
_atom_site_fract_x
_atom_site_fract_y
_atom_site_fract_z
_atom_site_occupancy
Y1 0.0000 0.0000 0.0000 1
Be1 0.6667 0.3333 0.2379 1
Br1 0.3333 0.6667 0.7422 1
# ρ = 3.27 g/cm³
# energy relative to the lowest polymorph listed for this composition = 0.7436 eV per atom

=====

Entry 2:
# YBeBr, optimized geometry, DFT PBE
data_YBeBr
_chemical_formula_sum 'Y1 Be1 Br1'
_cell_length_a 4.5786
_cell_length_b 4.5786
_cell_length_c 3.4524
_cell_angle_alpha 90.00
_cell_angle_beta 90.00
_cell_angle_gamma 120.00
_space_group_name_H-M_alt 'P 1'
_space_group_IT_number 1
_space_group_name_Hall 'P 1'
loop_
_atom_site_label
_atom_site_fract_x
_atom_site_fract_y
_atom_site_fract_z
_atom_site_occupancy
Y1 0.0000 0.0000 0.0000 1
Be1 0.6667 0.3333 0.5000 1
Br1 0.3333 0.6667 0.5000 1
# ρ = 4.71 g/cm³
# energy relative to the lowest polymorph listed for this composition = 0.9404 eV per atom

=====

Entry 3:
# YBeBr, optimized geometry, DFT PBE
data_YBeBr
_chemical_formula_sum 'Y2 Be2 Br2'
_cell_length_a 3.8830
_cell_length_b 3.8830
_cell_length_c 11.6241
_cell_angle_alpha 95.69
_cell_angle_beta 95.69
_cell_angle_gamma 60.12
_space_group_name_H-M_alt 'P 1'
_space_group_IT_number 1
_space_group_name_Hall 'P 1'
loop_
_atom_site_label
_atom_site_fract_x
_atom_site_fract_y
_atom_site_fract_z
_atom_site_occupancy
Y1 0.0326 0.0326 0.1647 1
Y2 0.9674 0.9674 0.8353 1
Be1 0.3341 0.3341 0.0036 1
Be2 0.6659 0.6659 0.9964 1
Br1 0.2686 0.2686 0.6712 1
Br2 0.7314 0.7314 0.3288 1
# ρ = 3.91 g/cm³
# energy relative to the lowest polymorph listed for this composition = 0.0000 eV per atom

=====

Entry 4:
# YBe3Br, optimized geometry, DFT PBE
data_YBe3Br
_chemical_formula_sum 'Y1 Be3 Br1'
_cell_length_a 5.4953
_cell_length_b 5.4953
_cell_length_c 5.4953
_cell_angle_alpha 90.00
_cell_angle_beta 90.00
_cell_angle_gamma 90.00
_space_group_name_H-M_alt 'P 1'
_space_group_IT_number 1
_space_group_name_Hall 'P 1'
loop_
_atom_site_label
_atom_site_fract_x
_atom_site_fract_y
_atom_site_fract_z
_atom_site_occupancy
Y1 0.0000 0.0000 0.0000 1
Be1 0.0000 0.0000 0.5000 1
Be2 0.0000 0.5000 0.0000 1
Be3 0.5000 0.0000 0.0000 1
Br1 0.5000 0.5000 0.5000 1
# ρ = 1.96 g/cm³
# energy relative to the lowest polymorph listed for this composition = 0.6122 eV per atom

=====

Entry 5:
# YBeBr2, optimized geometry, DFT PBE
data_YBeBr2
_chemical_formula_sum 'Y1 Be1 Br2'
_cell_length_a 4.5983
_cell_length_b 4.5983
_cell_length_c 4.2896
_cell_angle_alpha 90.00
_cell_angle_beta 90.00
_cell_angle_gamma 90.00
_space_group_name_H-M_alt 'P 1'
_space_group_IT_number 1
_space_group_name_Hall 'P 1'
loop_
_atom_site_label
_atom_site_fract_x
_atom_site_fract_y
_atom_site_fract_z
_atom_site_occupancy
Y1 0.0000 0.0000 0.0000 1
Be1 0.5000 0.5000 0.0000 1
Br1 0.0000 0.5000 0.5000 1
Br2 0.5000 0.0000 0.5000 1
# ρ = 4.72 g/cm³
# energy relative to the lowest polymorph listed for this composition = 0.4873 eV per atom

=====

Entry 6:
# YBeBr4, optimized geometry, DFT PBE
data_YBeBr4
_chemical_formula_sum 'Y1 Be1 Br4'
_cell_length_a 6.2228
_cell_length_b 6.2228
_cell_length_c 6.2228
_cell_angle_alpha 60.00
_cell_angle_beta 60.00
_cell_angle_gamma 60.00
_space_group_name_H-M_alt 'P 1'
_space_group_IT_number 1
_space_group_name_Hall 'P 1'
loop_
_atom_site_label
_atom_site_fract_x
_atom_site_fract_y
_atom_site_fract_z
_atom_site_occupancy
Y1 0.0000 0.0000 0.0000 1
Be1 0.7500 0.7500 0.7500 1
Br1 0.3747 0.3747 0.3747 1
Br2 0.3747 0.3747 0.8759 1
Br3 0.3747 0.8759 0.3747 1
Br4 0.8759 0.3747 0.3747 1
# ρ = 4.07 g/cm³

=====

Taking the records one at a time from the top gives N(E_F) values of 0.03; 0.66; 0.79; 2.18; 0.36; 1.06 states/eV per atom.
Taking the records one at a time from the top gives ΔE_f (raw) values of -0.148; 0.049; -0.891; 1.694; -0.212; 0.425 eV per atom.